Record 1
The following is a PBE calculation of crystalline Rb2PaBi2S6 at its relaxed geometry, from the Alexandria database.

Cell and atoms, written as CIF:
```
data_Rb2PaBi2S6
_chemical_formula_sum 'Rb2 Pa1 Bi2 S6'
_symmetry_space_group_name_H-M 'P 1'
_symmetry_Int_Tables_number 1
_symmetry_space_group_name_Hall 'P 1'
_cell_length_a 7.1354
_cell_length_b 7.1354
_cell_length_c 8.2627
_cell_angle_alpha 98.66
_cell_angle_beta 98.66
_cell_angle_gamma 119.61
loop_
_atom_site_label
_atom_site_type_symbol
_atom_site_fract_x
_atom_site_fract_y
_atom_site_fract_z
S1 S 0.3878 0.0632 0.6912
Bi1 Bi 0.6674 0.3326 0.5000
Pa1 Pa 0.0000 0.0000 0.5000
S2 S 0.9368 0.6122 0.3088
S3 S 0.2506 0.2506 0.3085
S4 S 0.7494 0.7494 0.6915
Rb1 Rb 0.1709 0.8291 0.0000
S5 S 0.6122 0.9368 0.3088
Rb2 Rb 0.8291 0.1709 0.0000
S6 S 0.0632 0.3878 0.6912
Bi2 Bi 0.3326 0.6674 0.5000
```

Results
Raw formation energy, eV/atom: -1.028
Volume, Å³/f.u.: 349


Record 2
The following is a PBE calculation of crystalline Na2TbCrS4 at its relaxed geometry, from the Alexandria database.

Cell and atoms, written as CIF:
```
data_Na2TbCrS4
_chemical_formula_sum 'Na2 Tb1 Cr1 S4'
_symmetry_space_group_name_H-M 'P 1'
_symmetry_Int_Tables_number 1
_symmetry_space_group_name_Hall 'P 1'
_cell_length_a 3.8115
_cell_length_b 6.5263
_cell_length_c 7.0154
_cell_angle_alpha 108.45
_cell_angle_beta 90.00
_cell_angle_gamma 90.00
loop_
_atom_site_label
_atom_site_type_symbol
_atom_site_fract_x
_atom_site_fract_y
_atom_site_fract_z
S1 S 0.0000 0.2906 0.7939
S2 S 0.5000 0.7342 0.7781
S3 S 0.5000 0.2658 0.2219
Tb1 Tb 0.0000 0.0000 0.0000
Cr1 Cr 0.5000 0.5000 0.0000
Na1 Na 0.0000 0.5000 0.5000
S4 S 0.0000 0.7094 0.2061
Na2 Na 0.5000 0.0000 0.5000
```

Results
Raw formation energy, eV/atom: -1.327
Volume, Å³/f.u.: 166


Record 3
The following is a PBE calculation of crystalline Pm5Y3Ho at its relaxed geometry, from the Alexandria database.

Cell and atoms, written as CIF:
```
data_Pm5Y3Ho
_chemical_formula_sum 'Pm10 Y6 Ho2'
_symmetry_space_group_name_H-M 'P 1'
_symmetry_Int_Tables_number 1
_symmetry_space_group_name_Hall 'P 1'
_cell_length_a 6.2649
_cell_length_b 11.0542
_cell_length_c 11.7490
_cell_angle_alpha 125.24
_cell_angle_beta 90.00
_cell_angle_gamma 106.46
loop_
_atom_site_label
_atom_site_type_symbol
_atom_site_fract_x
_atom_site_fract_y
_atom_site_fract_z
Ho1 Ho 0.8968 0.0000 0.7500
Pm1 Pm 0.5337 0.7245 0.3809
Y1 Y 0.9569 0.3536 0.8237
Pm2 Pm 0.5920 0.0000 0.2500
Pm3 Pm 0.8092 0.2755 0.1191
Pm4 Pm 0.9972 0.3591 0.5258
Pm5 Pm 0.1908 0.7245 0.8809
Y2 Y 0.3967 0.3536 0.3237
Y3 Y 0.6033 0.6464 0.6763
Pm6 Pm 0.3619 0.3591 0.0258
Pm7 Pm 0.6381 0.6409 0.9742
Pm8 Pm 0.4663 0.2755 0.6191
Pm9 Pm 0.4080 0.0000 0.7500
Ho2 Ho 0.1032 0.0000 0.2500
Y4 Y 0.0000 0.0000 0.0000
Y5 Y 0.0431 0.6464 0.1763
Pm10 Pm 0.0028 0.6409 0.4742
Y6 Y 0.0000 0.0000 0.5000
```

Results
E above lowest polymorph, eV per formula unit: 0.000
Volume, Å³/f.u.: 312


Record 4
The following is a PBE calculation of crystalline Tm5Cd2Sn at its relaxed geometry, from the Alexandria database.

Cell and atoms, written as CIF:
```
data_Tm5Cd2Sn
_chemical_formula_sum 'Tm10 Cd4 Sn2'
_symmetry_space_group_name_H-M 'P 1'
_symmetry_Int_Tables_number 1
_symmetry_space_group_name_Hall 'P 1'
_cell_length_a 8.1654
_cell_length_b 8.1654
_cell_length_c 8.6757
_cell_angle_alpha 118.07
_cell_angle_beta 118.07
_cell_angle_gamma 90.00
loop_
_atom_site_label
_atom_site_type_symbol
_atom_site_fract_x
_atom_site_fract_y
_atom_site_fract_z
Cd1 Cd 0.8632 0.6368 0.0000
Tm1 Tm 0.8071 0.9974 0.3045
Cd2 Cd 0.1368 0.3632 0.0000
Sn1 Sn 0.7500 0.7500 0.5000
Tm2 Tm 0.6929 0.1929 0.6955
Tm3 Tm 0.4974 0.3071 0.3045
Sn2 Sn 0.2500 0.2500 0.5000
Tm4 Tm 0.1929 0.0026 0.6955
Tm5 Tm 0.5026 0.6929 0.6955
Cd3 Cd 0.6368 0.1368 0.0000
Tm6 Tm 0.9974 0.4974 0.3045
Tm7 Tm 0.3071 0.8071 0.3045
Tm8 Tm 0.0000 0.0000 0.0000
Tm9 Tm 0.0026 0.5026 0.6955
Cd4 Cd 0.3632 0.8632 0.0000
Tm10 Tm 0.5000 0.5000 0.0000
```

Results
Uncorrected energy, eV/atom: -3.865
Volume, Å³/f.u.: 216


Record 5
The following is a PBE calculation of crystalline Be2AlP at its relaxed geometry, from the Alexandria database.

Cell and atoms, written as CIF:
```
data_Be2AlP
_chemical_formula_sum 'Be4 Al2 P2'
_symmetry_space_group_name_H-M 'P 1'
_symmetry_Int_Tables_number 1
_symmetry_space_group_name_Hall 'P 1'
_cell_length_a 5.7460
_cell_length_b 5.7460
_cell_length_c 5.7155
_cell_angle_alpha 59.82
_cell_angle_beta 59.82
_cell_angle_gamma 90.00
loop_
_atom_site_label
_atom_site_type_symbol
_atom_site_fract_x
_atom_site_fract_y
_atom_site_fract_z
Be1 Be 0.6850 0.1250 0.2500
Be2 Be 0.3750 0.3150 0.7500
Al1 Al 0.2500 0.7500 0.5000
P1 P 0.0000 0.0000 0.0000
P2 P 0.7500 0.2500 0.5000
Be3 Be 0.8750 0.9350 0.7500
Al2 Al 0.5000 0.5000 0.0000
Be4 Be 0.0650 0.6250 0.2500
```

Results
E above lowest polymorph, eV per formula unit: 0.800
Volume, Å³/f.u.: 66


Record 6
The following is a PBE calculation of crystalline Er2Tm2Tl at its relaxed geometry, from the Alexandria database.

Cell and atoms, written as CIF:
```
data_Er2Tm2Tl
_chemical_formula_sum 'Er4 Tm4 Tl2'
_symmetry_space_group_name_H-M 'P 1'
_symmetry_Int_Tables_number 1
_symmetry_space_group_name_Hall 'P 1'
_cell_length_a 4.6840
_cell_length_b 8.0583
_cell_length_c 8.0581
_cell_angle_alpha 90.00
_cell_angle_beta 90.00
_cell_angle_gamma 90.00
loop_
_atom_site_label
_atom_site_type_symbol
_atom_site_fract_x
_atom_site_fract_y
_atom_site_fract_z
Tl1 Tl 0.0000 0.0000 0.0000
Er1 Er 0.0000 0.3518 0.8518
Tm1 Tm 0.5000 0.8499 0.3499
Er2 Er 0.0000 0.8518 0.6482
Tl2 Tl 0.0000 0.5000 0.5000
Tm2 Tm 0.5000 0.1501 0.6501
Tm3 Tm 0.5000 0.3499 0.1501
Er3 Er 0.0000 0.1482 0.3518
Er4 Er 0.0000 0.6482 0.1482
Tm4 Tm 0.5000 0.6501 0.8499
```

Results
E above lowest polymorph, eV per formula unit: 0.556
Volume, Å³/f.u.: 152


Record 7
The following is a PBE calculation of crystalline La3YCd at its relaxed geometry, from the Alexandria database.

Cell and atoms, written as CIF:
```
data_La3YCd
_chemical_formula_sum 'La3 Y1 Cd1'
_symmetry_space_group_name_H-M 'P 1'
_symmetry_Int_Tables_number 1
_symmetry_space_group_name_Hall 'P 1'
_cell_length_a 5.9646
_cell_length_b 5.9646
_cell_length_c 5.9646
_cell_angle_alpha 90.00
_cell_angle_beta 90.00
_cell_angle_gamma 90.00
loop_
_atom_site_label
_atom_site_type_symbol
_atom_site_fract_x
_atom_site_fract_y
_atom_site_fract_z
La1 La 0.0000 0.0000 0.5000
Y1 Y 0.5000 0.5000 0.5000
La2 La 0.5000 0.0000 0.0000
La3 La 0.0000 0.5000 0.0000
Cd1 Cd 0.0000 0.0000 0.0000
```

Results
E above lowest polymorph, eV per formula unit: 2.604
Volume, Å³/f.u.: 212


Record 8
The following is a PBE calculation of crystalline LiPuCdO4 at its relaxed geometry, from the Alexandria database.

Cell and atoms, written as CIF:
```
data_LiPuCdO4
_chemical_formula_sum 'Li2 Pu2 Cd2 O8'
_symmetry_space_group_name_H-M 'P 1'
_symmetry_Int_Tables_number 1
_symmetry_space_group_name_Hall 'P 1'
_cell_length_a 5.1194
_cell_length_b 5.1194
_cell_length_c 7.5040
_cell_angle_alpha 90.00
_cell_angle_beta 90.00
_cell_angle_gamma 109.73
loop_
_atom_site_label
_atom_site_type_symbol
_atom_site_fract_x
_atom_site_fract_y
_atom_site_fract_z
O1 O 0.2618 0.2586 0.2500
O2 O 0.7382 0.7414 0.7500
O3 O 0.7898 0.2102 0.5014
Li1 Li 0.1425 0.8575 0.2500
Pu1 Pu 0.1942 0.8058 0.7500
O4 O 0.2102 0.7898 0.0014
Cd1 Cd 0.5000 0.5000 0.5000
Pu2 Pu 0.8058 0.1942 0.2500
O5 O 0.7898 0.2102 0.9986
O6 O 0.2586 0.2618 0.7500
Li2 Li 0.8575 0.1425 0.7500
Cd2 Cd 0.5000 0.5000 0.0000
O7 O 0.2102 0.7898 0.4986
O8 O 0.7414 0.7382 0.2500
```

Results
Raw formation energy, eV/atom: -1.918
Volume, Å³/f.u.: 93


Record 9
The following is a PBE calculation of crystalline Ca3Tc at its relaxed geometry, from the Alexandria database.

Cell and atoms, written as CIF:
```
data_Ca3Tc
_chemical_formula_sum 'Ca6 Tc2'
_symmetry_space_group_name_H-M 'P 1'
_symmetry_Int_Tables_number 1
_symmetry_space_group_name_Hall 'P 1'
_cell_length_a 6.0892
_cell_length_b 6.0892
_cell_length_c 6.0892
_cell_angle_alpha 90.00
_cell_angle_beta 90.00
_cell_angle_gamma 90.00
loop_
_atom_site_label
_atom_site_type_symbol
_atom_site_fract_x
_atom_site_fract_y
_atom_site_fract_z
Ca1 Ca 0.0000 0.2500 0.5000
Tc1 Tc 0.5000 0.5000 0.5000
Ca2 Ca 0.0000 0.7500 0.5000
Tc2 Tc 0.0000 0.0000 0.0000
Ca3 Ca 0.2500 0.5000 0.0000
Ca4 Ca 0.5000 0.0000 0.2500
Ca5 Ca 0.5000 0.0000 0.7500
Ca6 Ca 0.7500 0.5000 0.0000
```

Results
Uncorrected energy, eV/atom: -3.487
Volume, Å³/f.u.: 113


Record 10
The following is a PBE calculation of crystalline InPb5 at its relaxed geometry, from the Alexandria database.

Cell and atoms, written as CIF:
```
data_InPb5
_chemical_formula_sum 'In1 Pb5'
_symmetry_space_group_name_H-M 'P 1'
_symmetry_Int_Tables_number 1
_symmetry_space_group_name_Hall 'P 1'
_cell_length_a 3.6142
_cell_length_b 3.6142
_cell_length_c 14.1625
_cell_angle_alpha 90.00
_cell_angle_beta 90.00
_cell_angle_gamma 90.00
loop_
_atom_site_label
_atom_site_type_symbol
_atom_site_fract_x
_atom_site_fract_y
_atom_site_fract_z
Pb1 Pb 0.0000 0.0000 0.3377
Pb2 Pb 0.5000 0.5000 0.8295
In1 In 0.5000 0.5000 0.5000
Pb3 Pb 0.5000 0.5000 0.1705
Pb4 Pb 0.0000 0.0000 0.0000
Pb5 Pb 0.0000 0.0000 0.6623
```

Results
E above lowest polymorph, eV per formula unit: 0.000
Volume, Å³/f.u.: 185


Record 11
The following is a PBE calculation of crystalline B4Mo at its relaxed geometry, from the Alexandria database.

Cell and atoms, written as CIF:
```
data_B4Mo
_chemical_formula_sum 'B16 Mo4'
_symmetry_space_group_name_H-M 'P 1'
_symmetry_Int_Tables_number 1
_symmetry_space_group_name_Hall 'P 1'
_cell_length_a 5.1700
_cell_length_b 5.1700
_cell_length_c 6.9851
_cell_angle_alpha 90.00
_cell_angle_beta 90.00
_cell_angle_gamma 120.00
loop_
_atom_site_label
_atom_site_type_symbol
_atom_site_fract_x
_atom_site_fract_y
_atom_site_fract_z
B1 B 0.6657 0.0000 0.5000
B2 B 0.0000 0.3343 0.5000
B3 B 0.6667 0.3333 0.1282
B4 B 0.6667 0.3333 0.3718
B5 B 0.6657 0.6657 0.5000
B6 B 0.3343 0.3343 0.0000
B7 B 0.0000 0.6657 0.5000
B8 B 0.3343 0.0000 0.0000
B9 B 0.3333 0.6667 0.8718
B10 B 0.6657 0.0000 0.0000
Mo1 Mo 0.3333 0.6667 0.2500
B11 B 0.3333 0.6667 0.6282
Mo2 Mo 0.6667 0.3333 0.7500
B12 B 0.6657 0.6657 0.0000
Mo3 Mo 0.0000 0.0000 0.2500
B13 B 0.3343 0.3343 0.5000
B14 B 0.3343 0.0000 0.5000
Mo4 Mo 0.0000 0.0000 0.7500
B15 B 0.0000 0.3343 0.0000
B16 B 0.0000 0.6657 0.0000
```

Results
E above lowest polymorph, eV per formula unit: 1.374
Volume, Å³/f.u.: 40


Record 12
The following is a PBE calculation of crystalline DyGaAg3 at its relaxed geometry, from the Alexandria database.

Cell and atoms, written as CIF:
```
data_DyGaAg3
_chemical_formula_sum 'Dy2 Ga2 Ag6'
_symmetry_space_group_name_H-M 'P 1'
_symmetry_Int_Tables_number 1
_symmetry_space_group_name_Hall 'P 1'
_cell_length_a 4.7804
_cell_length_b 6.3970
_cell_length_c 6.5628
_cell_angle_alpha 89.99
_cell_angle_beta 90.00
_cell_angle_gamma 90.00
loop_
_atom_site_label
_atom_site_type_symbol
_atom_site_fract_x
_atom_site_fract_y
_atom_site_fract_z
Ga1 Ga 0.4758 0.6215 0.2011
Ga2 Ga 0.9758 0.7315 0.7006
Dy1 Dy 0.4755 0.4225 0.7007
Ag1 Ag 0.4756 0.9077 0.4950
Ag2 Ag 0.9756 0.4454 0.9949
Dy2 Dy 0.9755 0.9302 0.2009
Ag3 Ag 0.9755 0.4450 0.4065
Ag4 Ag 0.9756 0.1243 0.7009
Ag5 Ag 0.4756 0.9072 0.9066
Ag6 Ag 0.4756 0.2285 0.2005
```

Results
Uncorrected energy, eV/atom: -3.467
Volume, Å³/f.u.: 100


Among the records above, which one has the highest volume? Rb2PaBi2S6


Among the records above, which one has the lowest volume? B4Mo